Entry 1:
TiNiO6F6 | GGA+U | optimized geometry

```
TiNiO6F6
1.0
4.151 2.396 2.855
-4.151 2.396 2.855
0.000 -4.793 2.855
Ti Ni O F
1 1 6 6
Direct
0.000 0.000 0.000
0.500 0.500 0.500
0.184 0.392 0.542
0.392 0.542 0.184
0.458 0.816 0.608
0.542 0.184 0.392
0.608 0.458 0.816
0.816 0.608 0.458
0.072 0.710 0.829
0.171 0.928 0.290
0.290 0.171 0.928
0.710 0.829 0.072
0.829 0.072 0.710
0.928 0.290 0.171
```

The total magnetization comes out at 10.00 μB per formula unit. The value obtained for the total energy is -59.09 eV per cell.

***

Entry 2:
Ti2NiOF | GGA+U | optimized geometry

```
Ti2NiOF
1.0
4.722 0.000 0.000
0.000 4.722 0.000
0.000 0.000 3.464
Ti Ni O F
2 1 1 1
Direct
0.000 0.500 0.000
0.500 0.000 0.000
0.000 0.000 0.000
0.000 0.000 0.500
0.500 0.500 0.500
```

The total magnetization comes out at 4.45 μB per formula unit. The value obtained for the total energy is -25.38 eV per cell.

***

Entry 3:
TlNiOF2 | GGA+U | optimized geometry

```
TlNiOF2
1.0
4.497 0.000 0.000
0.000 4.497 0.000
0.000 0.000 4.139
Tl Ni O F
1 1 1 2
Direct
0.000 0.000 0.000
0.500 0.500 0.500
0.000 0.000 0.500
0.000 0.500 0.000
0.500 0.000 0.000
```

The total magnetization comes out at 1.02 μB per formula unit. The value obtained for the total energy is -17.01 eV per cell.